1.
Tb3Co4Cu2 | GGA-PBE | optimized geometry

Cell: 3.9944 3.9944 23.2225 Å, 90.00 90.00 120.00°
Space group P3m1 (No. 156)
Asymmetric unit:
Tb 0.0000 0.0000 0.0000 x1
Tb 0.0000 0.0000 0.1617 x1
Tb 0.0000 0.0000 0.3285 x1
Tb 0.0000 0.0000 0.4954 x1
Tb 0.0000 0.0000 0.6620 x1
Tb 0.0000 0.0000 0.8239 x1
Co 0.3333 0.6667 0.0786 x1
Co 0.3333 0.6667 0.2450 x1
Co 0.3333 0.6667 0.4120 x1
Co 0.3333 0.6667 0.5788 x1
Co 0.3333 0.6667 0.7452 x1
Co 0.6667 0.3333 0.0781 x1
Co 0.6667 0.3333 0.4120 x1
Co 0.6667 0.3333 0.7457 x1
Cu 0.3333 0.6667 0.9121 x1
Cu 0.6667 0.3333 0.2452 x1
Cu 0.6667 0.3333 0.5785 x1
Cu 0.6667 0.3333 0.9121 x1

E_form = -153 kJ/mol of formula units
total DFT energy (no corrections) = -5.79 eV/atom



2.
TbCoCu | GGA-PBE | optimized geometry

Cell: 3.325 3.325 9.244 Å, 90.00 90.00 90.00°
Space group I4mm (No. 107)
Asymmetric unit:
Tb 0.000 0.000 0.000 x2
Co 0.000 0.000 0.687 x2
Cu 0.000 0.000 0.300 x2

E_form = 8 kJ/mol of formula units
total DFT energy (no corrections) = -5.25 eV/atom



3.
TbCoCu | GGA-PBE | optimized geometry

Cell: 9.355 5.210 4.891 Å, 90.00 120.87 90.00°
Space group C2/m (No. 12)
Asymmetric unit:
Tb 0.129 0.000 0.379 x4
Co 0.008 0.500 0.259 x4
Cu 0.250 0.250 0.000 x4

E_form = 17 kJ/mol of formula units
total DFT energy (no corrections) = -5.22 eV/atom



4.
TbCoCu | GGA-PBE | optimized geometry

Cell: 4.1003 4.1003 3.6769 Å, 90.00 90.00 120.00°
Space group P-6m2 (No. 187)
Asymmetric unit:
Tb 0.0000 0.0000 0.0000 x1
Co 0.3333 0.6667 0.5000 x1
Cu 0.6667 0.3333 0.5000 x1

E_form = -32 kJ/mol of formula units
total DFT energy (no corrections) = -5.39 eV/atom



5.
Tb2Co15Cu2 | GGA-PBE | optimized geometry

Cell: 8.3685 8.3685 12.0370 Å, 90.00 90.00 120.00°
Space group R-3m (No. 166, hexagonal axes)
Asymmetric unit:
Tb 0.0000 0.0000 0.1564 x6
Co 0.0000 0.2880 0.5000 x18
Co 0.0000 0.5000 0.0000 x9
Co 0.0014 0.5007 0.6523 x18
Cu 0.0000 0.0000 0.3988 x6

E_form = -124 kJ/mol of formula units
total DFT energy (no corrections) = -6.60 eV/atom



6.
Tb2Co5Cu5 | GGA-PBE | optimized geometry

Cell: 4.081 4.848 8.672 Å, 90.00 90.00 90.00°
Space group Pmmm (No. 47)
Asymmetric unit:
Tb 0.000 0.000 0.000 x1
Tb 0.000 0.500 0.500 x1
Co 0.500 0.000 0.500 x1
Co 0.500 0.253 0.258 x4
Cu 0.000 0.000 0.331 x2
Cu 0.000 0.500 0.172 x2
Cu 0.500 0.500 0.000 x1

E_form = -127 kJ/mol of formula units
total DFT energy (no corrections) = -5.55 eV/atom



- Among the records above, which one has the lowest E_form?
  Tb3Co4Cu2



Copy entry 4 word for word.
TbCoCu | GGA-PBE | optimized geometry

Cell: 4.1003 4.1003 3.6769 Å, 90.00 90.00 120.00°
Space group P-6m2 (No. 187)
Asymmetric unit:
Tb 0.0000 0.0000 0.0000 x1
Co 0.3333 0.6667 0.5000 x1
Cu 0.6667 0.3333 0.5000 x1

E_form = -32 kJ/mol of formula units
total DFT energy (no corrections) = -5.39 eV/atom



- Which formula does entry 3 have?
  TbCoCu